Record 1
Entry from Alexandria: a relaxed structure of SmGa2Pd (PBE-GGA).

The structure belongs to space group R-3m (No. 166, hexagonal axes); the cell edges are 4.2871, 4.2871 and 15.2649 Å and the angles 90.00°, 90.00° and 120.00°. Symmetry generates all atoms from Sm at (0.0000, 0.0000, 0.0000), Ga at (0.0000, 0.0000, 0.2164) and Pd at (0.0000, 0.0000, 0.5000).

The electronic total energy is -4.724 eV per atom. The crystal system is trigonal.



Record 2
Entry from Alexandria: a relaxed structure of Sm12GaPd6 (PBE-GGA).

The structure belongs to space group R-3 (No. 148, hexagonal axes); the cell edges are 13.2592, 13.2592 and 11.3473 Å and the angles 90.00°, 90.00° and 120.00°. Symmetry generates all atoms from Sm at (0.0256, 0.2094, 0.3833), Sm at (0.0345, 0.2102, 0.8846), Ga at (0.0000, 0.0000, 0.0000) and Pd at (0.0373, 0.2581, 0.6399).

The electronic total energy is -5.199 eV per atom. The crystal system is trigonal.



Record 3
Entry from Alexandria: a relaxed structure of SmGa6Pd6 (PBE-GGA).

The structure belongs to space group Immm (No. 71); the cell edges are 5.511, 8.401 and 9.503 Å and the angles 90.00°, 90.00° and 90.00°. Symmetry generates all atoms from Sm at (0.000, 0.000, 0.000), Ga at (0.000, 0.000, 0.343), Ga at (0.000, 0.352, 0.000), Ga at (0.000, 0.500, 0.321), Pd at (0.000, 0.259, 0.500) and Pd at (0.250, 0.250, 0.250).

The electronic total energy is -4.784 eV per atom. The calculation puts the polymorph energy (0 for the lowest one) at 0.0 meV per atom. The crystal system is orthorhombic.



Q: The highest electronic total energy belongs to which entry?
A: SmGa2Pd



Q: The lowest electronic total energy belongs to which entry?
A: Sm12GaPd6